ZrSBr3: relaxed, PBE.

Lattice parameters (Å, degrees): 7.483 15.054 13.368 90.00 98.23 90.00
Space group C2/c (No. 15)
Unique sites:
Zr1 0.089 0.063 0.141 [8 per cell]
S1 0.122 0.178 0.297 [8 per cell]
Br1 0.143 0.090 0.535 [8 per cell]
Br2 0.153 0.357 0.920 [8 per cell]
Br3 0.228 0.037 0.797 [8 per cell]

Summary:
The value obtained for the energy above the most stable polymorph in this dataset is 0 meV/atom. The value obtained for the uncorrected formation energy is -1237 meV per atom.

---

YAl2CuAu4: relaxed, PBE.

Lattice parameters (Å, degrees): 4.4373 4.4373 25.8121 90.00 90.00 120.00
Space group R-3m (No. 166, hexagonal axes)
Unique sites:
Y1 0.0000 0.0000 0.0000 [3 per cell]
Al1 0.0000 0.0000 0.2398 [6 per cell]
Cu1 0.0000 0.0000 0.5000 [3 per cell]
Au1 0.0000 0.0000 0.1315 [6 per cell]
Au2 0.0000 0.0000 0.3961 [6 per cell]

Summary:
The density of states at the Fermi level comes out at 0.410 states/eV per atom. The formation energy is -0.490 eV/atom.

---

AlCo3: relaxed, PBE.

Lattice parameters (Å, degrees): 4.538 4.538 4.538 90.00 90.00 90.00
Space group Pm-3n (No. 223)
Unique sites:
Al1 0.000 0.000 0.000 [2 per cell]
Co1 0.000 0.250 0.500 [6 per cell]

Summary:
The density of states at the Fermi level comes out at 1.314 states/eV per atom. The formation energy is -0.126 eV/atom.

---

Cu3Rh2: relaxed, PBE.

Lattice parameters (Å, degrees): 7.2390 7.2390 9.7062 90.00 90.00 120.00
Space group R-3c (No. 167, hexagonal axes)
Unique sites:
Cu1 0.0000 0.3153 0.2500 [18 per cell]
Rh1 0.0000 0.0000 0.1231 [12 per cell]

Summary:
The value obtained for the energy above the most stable polymorph in this dataset is 427 meV/atom. The density of states at the Fermi level comes out at 1.120 states/eV per atom. The formation energy is 0.461 eV/atom.

---

CaLaTe2S: relaxed, PBE.

Lattice parameters (Å, degrees): 5.800 5.800 15.937 90.00 90.00 90.00
Space group P4/mmm (No. 123)
Unique sites:
Ca1 0.000 0.000 0.000 [1 per cell]
La1 0.000 0.000 0.500 [1 per cell]
Te1 0.000 0.500 0.500 [2 per cell]
S1 0.500 0.500 0.000 [1 per cell]

Summary:
The density of states at the Fermi level comes out at 1.436 states/eV per atom. The value obtained for the uncorrected formation energy is 94 meV per atom.

---

Nd5ErIn4: relaxed, PBE.

Lattice parameters (Å, degrees): 3.653 3.653 22.477 90.00 90.00 90.00
Space group P4/mmm (No. 123)
Unique sites:
Nd1 0.000 0.000 0.000 [1 per cell]
Nd2 0.000 0.000 0.194 [2 per cell]
Nd3 0.000 0.000 0.386 [2 per cell]
Er1 0.500 0.500 0.500 [1 per cell]
In1 0.500 0.500 0.097 [2 per cell]
In2 0.500 0.500 0.291 [2 per cell]

Summary:
The value obtained for the energy above the most stable polymorph in this dataset is 0 meV/atom. The density of states at the Fermi level comes out at 1.134 states/eV per atom. The formation energy is -0.371 eV/atom.

---

PmNdP: relaxed, PBE.

Lattice parameters (Å, degrees): 6.874 6.874 6.874 90.00 90.00 90.00
Space group F-43m (No. 216)
Unique sites:
Pm1 0.000 0.000 0.000 [4 per cell]
Nd1 0.000 0.000 0.500 [4 per cell]
P1 0.250 0.250 0.750 [4 per cell]

Summary:
The value obtained for the energy above the most stable polymorph in this dataset is 61 meV/atom. The density of states at the Fermi level comes out at 0.607 states/eV per atom. The formation energy is -0.870 eV/atom.